The following is a PBE-GGA calculation of a relaxed structure of NaHo4Mg5, from Alexandria.

a b c (Å): 3.739 3.739 19.544
angles (deg): 90.00 90.00 90.00
Positions (direct):
1 Na 0.000 0.000 0.000
2 Ho 0.000 0.000 0.211
3 Ho 0.000 0.000 0.403
4 Ho 0.000 0.000 0.597
5 Ho 0.000 0.000 0.789
6 Mg 0.500 0.500 0.109
7 Mg 0.500 0.500 0.307
8 Mg 0.500 0.500 0.500
9 Mg 0.500 0.500 0.693
10 Mg 0.500 0.500 0.891

The formation enthalpy at 0 K comes out at -0.03 eV/atom. The calculation puts the uncorrected energy at -2.79 eV per atom. The crystal system is tetragonal.

=====

The following is a PBE-GGA calculation of a relaxed structure of NaHoMg2Pb2, from Alexandria.

a b c (Å): 4.976 4.976 9.207
angles (deg): 74.32 74.32 60.00
Positions (direct):
1 Na 0.500 0.500 0.500
2 Ho 0.000 0.000 0.000
3 Mg 0.620 0.620 0.139
4 Mg 0.380 0.380 0.861
5 Pb 0.744 0.744 0.769
6 Pb 0.256 0.256 0.231

The formation enthalpy at 0 K comes out at -0.07 eV/atom. The calculation puts the uncorrected energy at -2.82 eV per atom. The crystal system is trigonal.

=====

The following is a PBE-GGA calculation of a relaxed structure of NaHoMgPb, from Alexandria.

a b c (Å): 5.356 5.356 5.356
angles (deg): 60.00 60.00 60.00
Positions (direct):
1 Pb 0.750 0.750 0.750
2 Na 0.000 0.000 0.000
3 Mg 0.250 0.250 0.250
4 Ho 0.500 0.500 0.500

The formation enthalpy at 0 K comes out at -0.15 eV/atom. The calculation puts the uncorrected energy at -2.95 eV per atom. The crystal system is cubic.

=====

The following is a PBE-GGA calculation of a relaxed structure of NaHo2MgSe4, from Alexandria.

a b c (Å): 4.013 7.135 6.980
angles (deg): 71.47 90.00 90.00
Positions (direct):
1 Na 0.500 0.500 0.000
2 Ho 0.000 0.000 0.000
3 Ho 0.500 0.000 0.500
4 Mg 0.000 0.500 0.500
5 Se 0.000 0.752 0.740
6 Se 0.000 0.248 0.260
7 Se 0.500 0.743 0.259
8 Se 0.500 0.257 0.741

The calculation puts the uncorrected energy at -4.80 eV per atom. The crystal system is monoclinic. As for the energy relative to the elements, uncorrected: -35.63 kcal/mol of atoms.

=====

The following is a PBE-GGA calculation of a relaxed structure of NaHoMgSn, from Alexandria.

a b c (Å): 5.276 5.276 5.276
angles (deg): 60.00 60.00 60.00
Positions (direct):
1 Na 0.500 0.500 0.500
2 Mg 0.750 0.750 0.750
3 Ho 0.000 0.000 0.000
4 Sn 0.250 0.250 0.250

The formation enthalpy at 0 K comes out at -0.22 eV/atom. The calculation puts the uncorrected energy at -3.10 eV per atom. The crystal system is cubic.

=====

The following is a PBE-GGA calculation of a relaxed structure of NaHo2MgTe4, from Alexandria.

a b c (Å): 6.164 6.164 7.609
angles (deg): 113.89 113.89 90.00
Positions (direct):
1 Na 0.500 0.500 0.000
2 Ho 0.250 0.750 0.500
3 Ho 0.000 0.000 0.000
4 Mg 0.750 0.250 0.500
5 Te 0.999 0.499 0.999
6 Te 0.501 0.001 0.001
7 Te 0.754 0.754 0.508
8 Te 0.246 0.246 0.492

The calculation puts the uncorrected energy at -4.20 eV per atom. The crystal system is tetragonal. As for the energy relative to the elements, uncorrected: -25.84 kcal/mol of atoms.

=====

The following is a PBE-GGA calculation of a relaxed structure of Ho2MgNb, from Alexandria.

a b c (Å): 3.163 3.163 11.851
angles (deg): 82.33 82.33 60.00
Each line ends with the local moment (μB).
Positions (direct):
1 Mg 0.500 0.500 0.500  0.00
2 Nb 0.000 0.000 0.000  0.29
3 Ho 0.084 0.084 0.749  0.04
4 Ho 0.916 0.916 0.251  0.04

The formation enthalpy at 0 K comes out at 0.51 eV/atom. The calculation puts the uncorrected energy at -4.70 eV per atom. The crystal system is trigonal. Its offset from the most stable computed form is 0.3745 eV per atom.

=====

The following is a PBE-GGA calculation of a relaxed structure of HoMgNb, from Alexandria.

a b c (Å): 5.257 4.648 8.442
angles (deg): 79.86 71.86 55.57
Positions (direct):
1 Mg 0.750 0.500 0.500
2 Mg 0.250 0.500 0.500
3 Nb 0.843 0.313 0.000
4 Nb 0.157 0.687 0.000
5 Ho 0.601 0.000 0.797
6 Ho 0.399 0.000 0.203

The formation enthalpy at 0 K comes out at 0.48 eV/atom. The calculation puts the uncorrected energy at -4.94 eV per atom. The crystal system is orthorhombic.